1.
6
Lattice="-2.848 3.918 2.500 2.848 -3.918 2.500 2.848 3.918 -2.500" Properties=species:S:1:pos:R:3 comment="ScTaV | the Alexandria database | GGA-PBE | optimized geometry" dos_at_fermi_per_ev_fu=4.77 total_magnetization_mub_per_atom=0.00 final_energy_ev_per_atom=-8.90 pbc="T T T"
Sc 1.424 1.045 0.000
Sc 1.424 2.873 2.500
Ta 0.000 0.000 2.446
Ta 2.848 0.000 2.446
V 4.272 1.723 -0.929
V -1.424 2.195 1.571


2.
6
Lattice="4.849 -2.302 0.000 4.849 2.302 0.000 -3.221 0.000 4.872" Properties=species:S:1:pos:R:3 comment="ScTaV | the Alexandria database | GGA-PBE | optimized geometry" dos_at_fermi_per_ev_fu=4.37 total_magnetization_mub_per_atom=0.00 final_energy_ev_per_atom=-8.91 pbc="T T T"
Sc 0.000 0.000 0.000
Sc 3.617 0.000 4.021
Ta 2.768 0.000 1.031
Ta 5.573 0.000 1.867
V -1.480 0.000 2.299
V 0.779 0.000 3.135


3.
6
Lattice="2.792 0.000 0.000 0.000 4.833 0.000 0.000 0.000 8.359" Properties=species:S:1:pos:R:3 comment="ScTaV | the Alexandria database | GGA-PBE | optimized geometry" dos_at_fermi_per_ev_fu=4.58 total_magnetization_mub_per_atom=0.00 final_energy_ev_per_atom=-8.68 pbc="T T T"
Sc 0.698 1.208 0.661
Sc 2.094 3.625 7.698
Ta 0.698 1.208 3.591
Ta 2.094 3.625 4.768
V 0.698 3.625 2.326
V 2.094 1.208 6.033


4.
8
Lattice="-3.525 3.525 2.803 3.525 -3.525 2.803 3.525 3.525 -2.803" Properties=species:S:1:pos:R:3 comment="ScTaV2 | the Alexandria database | GGA-PBE | optimized geometry" dos_at_fermi_per_ev_fu=5.25 total_magnetization_mub_per_atom=0.00 final_energy_ev_per_atom=-8.39 pbc="T T T"
Sc 0.000 0.000 0.000
Sc 0.000 3.525 1.401
Ta 3.525 0.000 1.401
Ta 0.000 0.000 2.803
V 1.763 -1.706 2.102
V 1.819 1.763 0.701
V 1.763 5.231 -0.701
V 1.706 1.763 3.503


5.
3
Lattice="-1.673 1.673 4.998 1.673 -1.673 4.998 1.673 1.673 -4.998" Properties=species:S:1:pos:R:3 comment="ScTaV | the Alexandria database | GGA-PBE | optimized geometry" dos_at_fermi_per_ev_fu=3.25 total_magnetization_mub_per_atom=0.00 final_energy_ev_per_atom=-8.95 pbc="T T T"
Sc 0.000 0.000 0.000
Ta 0.000 0.000 3.014
V 0.000 0.000 6.896


6.
4
Lattice="0.000 3.236 3.236 3.236 0.000 3.236 3.236 3.236 0.000" Properties=species:S:1:pos:R:3 comment="ScTaV2 | the Alexandria database | GGA-PBE | optimized geometry" dos_at_fermi_per_ev_fu=6.02 total_magnetization_mub_per_atom=0.74 final_energy_ev_per_atom=-8.87 pbc="T T T"
Sc 0.000 0.000 0.000
Ta 3.236 3.236 3.236
V 1.618 1.618 1.618
V 4.853 4.853 4.853


7.
6
Lattice="4.347 -2.767 0.000 4.347 2.767 0.000 -3.056 0.000 4.586" Properties=species:S:1:pos:R:3 comment="ScTaV | the Alexandria database | GGA-PBE | optimized geometry" dos_at_fermi_per_ev_fu=3.01 total_magnetization_mub_per_atom=0.00 final_energy_ev_per_atom=-8.91 pbc="T T T"
Sc 1.412 0.000 0.288
Sc 4.226 0.000 4.298
Ta 0.767 0.000 3.169
Ta 4.871 0.000 1.417
V 2.819 1.437 2.293
V 2.819 -1.437 2.293


8.
6
Lattice="4.941 -2.301 0.000 4.941 2.301 0.000 -3.383 0.000 4.762" Properties=species:S:1:pos:R:3 comment="ScTaV | the Alexandria database | GGA-PBE | optimized geometry" dos_at_fermi_per_ev_fu=4.41 total_magnetization_mub_per_atom=0.02 final_energy_ev_per_atom=-8.88 pbc="T T T"
Sc 0.000 0.000 0.000
Sc 5.754 0.000 1.732
Ta 2.804 0.000 0.863
Ta 3.669 0.000 3.836
V -1.381 0.000 2.505
V 0.820 0.000 3.329